Record 1
This record from Alexandria describes crystalline KPr2SmS4 at its relaxed geometry. The functional is PBE-GGA.

The uncorrected formation energy comes out at -1.88 eV per atom.

The space group is P2/m (No. 10) and the conventional cell measures 7.190, 4.104 and 7.218 Å, with angles of 90.00, 108.84 and 90.00 degrees. Symmetry generates all atoms from K at (0.000, 0.000, 0.000), Pr at (0.500, 0.000, 0.500), Pr at (0.500, 0.500, 0.000), Sm at (0.000, 0.500, 0.500), S at (0.248, 0.000, 0.740) and S at (0.260, 0.500, 0.266).

***

Record 2
This record from Alexandria describes crystalline FeTcB2Ir at its relaxed geometry. The functional is PBE-GGA.

The formation energy is 1426 meV per atom.

The space group is P4/mmm (No. 123) and the conventional cell measures 4.013, 4.013 and 4.832 Å, with angles of 90.00, 90.00 and 90.00 degrees. Symmetry generates all atoms from Fe at (0.000, 0.000, 0.000), Tc at (0.500, 0.500, 0.500), B at (0.000, 0.500, 0.500) and Ir at (0.500, 0.500, 0.000).

***

Record 3
This record from Alexandria describes crystalline Pu2AlV at its relaxed geometry. The functional is PBE-GGA.

The calculation puts the excess energy over the best structure of this formula in the dataset at 0 meV/atom. The formation energy is 49 meV per atom.

The space group is P4/mmm (No. 123) and the conventional cell measures 4.151, 4.151 and 4.488 Å, with angles of 90.00, 90.00 and 90.00 degrees. Symmetry generates all atoms from Pu at (0.000, 0.500, 0.000), Al at (0.000, 0.000, 0.500) and V at (0.500, 0.500, 0.500).

***

Record 4
This record from Alexandria describes crystalline YAl4Ni at its relaxed geometry. The functional is PBE-GGA.

The formation energy is -78 meV per atom.

The space group is F-43m (No. 216) and the conventional cell measures 7.564, 7.564 and 7.564 Å, with angles of 90.00, 90.00 and 90.00 degrees. Symmetry generates all atoms from Y at (0.000, 0.000, 0.000), Al at (0.125, 0.125, 0.625) and Ni at (0.250, 0.250, 0.250).

***

Record 5
This record from Alexandria describes crystalline Mg3TlHg at its relaxed geometry. The functional is PBE-GGA.

The calculation puts the excess energy over the best structure of this formula in the dataset at 205 meV/atom. The formation energy is 117 meV per atom.

The space group is Cmmm (No. 65) and the conventional cell measures 7.774, 14.439 and 4.953 Å, with angles of 90.00, 90.00 and 90.00 degrees. Symmetry generates all atoms from Mg at (0.000, 0.199, 0.000), Mg at (0.182, 0.500, 0.500), Mg at (0.250, 0.250, 0.500), Tl at (0.000, 0.104, 0.500) and Hg at (0.000, 0.393, 0.000).

***

Record 6
This record from Alexandria describes crystalline Tb2ThPb9 at its relaxed geometry. The functional is PBE-GGA.

The formation energy is -270 meV per atom.

The space group is P4/mmm (No. 123) and the conventional cell measures 4.892, 4.892 and 14.680 Å, with angles of 90.00, 90.00 and 90.00 degrees. Symmetry generates all atoms from Tb at (0.000, 0.000, 0.172), Th at (0.000, 0.000, 0.500), Pb at (0.000, 0.500, 0.000), Pb at (0.000, 0.500, 0.332), Pb at (0.500, 0.500, 0.165) and Pb at (0.500, 0.500, 0.500).

***

Record 7
This record from Alexandria describes crystalline CaHo4TmSe8 at its relaxed geometry. The functional is PBE-GGA.

The uncorrected formation energy comes out at -1.79 eV per atom.

The space group is R3m (No. 160, hexagonal axes) and the conventional cell measures 8.4153, 8.4153 and 20.5761 Å, with angles of 90.00, 90.00 and 120.00 degrees. Symmetry generates all atoms from Ca at (0.0000, 0.0000, 0.0000), Ho at (0.0000, 0.0000, 0.2496), Ho at (0.1694, 0.3389, 0.4575), Tm at (0.0000, 0.0000, 0.6272), Se at (0.0000, 0.0000, 0.3825), Se at (0.0000, 0.0000, 0.8648), Se at (0.0281, 0.5141, 0.3776) and Se at (0.1780, 0.3559, 0.2064).

***

Record 8
This record from Alexandria describes crystalline LiTeBrN2 at its relaxed geometry. The functional is PBE-GGA.

The uncorrected formation energy comes out at 1.61 eV per atom. The calculation puts the excess energy over the best structure of this formula in the dataset at 0 meV/atom.

The space group is P4/mmm (No. 123) and the conventional cell measures 4.269, 4.269 and 5.830 Å, with angles of 90.00, 90.00 and 90.00 degrees. Symmetry generates all atoms from Li at (0.000, 0.000, 0.000), Te at (0.000, 0.000, 0.500), Br at (0.500, 0.500, 0.500) and N at (0.000, 0.500, 0.000).

***

| no. | mass density (Mg/m³) | size of the total moment (μB per formula unit) |
| --- | --- | --- |
| 1 | 4.94 | 0.00 |
| 2 | 7.85 | 3.83 |
| 3 | 12.15 | 8.28 |
| 4 | 3.92 | 0.00 |
| 5 | 5.71 | 0.00 |
| 6 | 11.41 | 0.00 |
| 7 | 5.92 | 0.00 |
| 8 | 3.79 | 5.35 |